[1]
# Tm8Sc2In3 (PBE, relaxed)
# * DFT total energy: -4.326 eV per atom
# * D(E_F): 29.75 states/eV/cell
# * energy of formation: 0.03 eV/atom
data_Tm8Sc2In3
_space_group_name_H-M_alt 'C 1 2/m 1'
_space_group_IT_number 12
_cell_length_a 13.858
_cell_length_b 8.578
_cell_length_c 6.433
_cell_angle_alpha 90.00
_cell_angle_beta 98.62
_cell_angle_gamma 90.00
loop_
_space_group_symop_operation_xyz
'x,y,z'
'-x,-y,-z'
'-x,y,-z'
'x,-y,z'
'x+1/2,y+1/2,z'
'-x+1/2,-y+1/2,-z'
'-x+1/2,y+1/2,-z'
'x+1/2,-y+1/2,z'
loop_
_atom_site_label
_atom_site_type_symbol
_atom_site_fract_x
_atom_site_fract_y
_atom_site_fract_z
_atom_site_occupancy
Tm1 Tm 0.089 0.000 0.380 1
Tm2 Tm 0.119 0.185 0.926 1
Tm3 Tm 0.192 0.500 0.300 1
Sc1 Sc 0.192 0.500 0.795 1
In1 In 0.000 0.330 0.500 1
In2 In 0.000 0.500 0.000 1

***

[2]
# CoAuCl (PBE, relaxed)
# * DFT total energy: -3.898 eV per atom
# * E above lowest polymorph: 247 meV/atom
# * E_form (uncorrected): 0.178 eV per atom
# * D(E_F): 11.15 states/eV/cell
data_CoAuCl
_space_group_name_H-M_alt 'F m m 2'
_space_group_IT_number 42
_space_group_name_Hall 'F 2 -2'
_cell_length_a 4.169
_cell_length_b 4.181
_cell_length_c 13.164
_cell_angle_alpha 90.00
_cell_angle_beta 90.00
_cell_angle_gamma 90.00
loop_
_atom_site_label
_atom_site_type_symbol
_atom_site_fract_x
_atom_site_fract_y
_atom_site_fract_z
_atom_site_occupancy
Co1 Co 0.000 0.000 0.000 1
Au1 Au 0.000 0.000 0.637 1
Cl1 Cl 0.000 0.000 0.397 1

***

[3]
# Eu2LuCu (PBE, relaxed)
# * DFT total energy: -7.248 eV per atom
# * D(E_F): 4.11 states/eV/cell
# * energy of formation: 0.04 eV/atom
data_Eu2LuCu
_space_group_name_H-M_alt 'P 4/m m m'
_space_group_IT_number 123
_space_group_name_Hall '-P 4 2'
_cell_length_a 3.649
_cell_length_b 3.649
_cell_length_c 8.856
_cell_angle_alpha 90.00
_cell_angle_beta 90.00
_cell_angle_gamma 90.00
loop_
_atom_site_label
_atom_site_type_symbol
_atom_site_fract_x
_atom_site_fract_y
_atom_site_fract_z
_atom_site_occupancy
Eu1 Eu 0.000 0.000 0.200 1
Lu1 Lu 0.500 0.500 0.500 1
Cu1 Cu 0.500 0.500 0.000 1

***

[4]
# SiP2Ru (PBE, relaxed)
# * DFT total energy: -6.415 eV per atom
# * E_form (uncorrected): -0.035 eV per atom
# * D(E_F): 5.70 states/eV/cell
data_SiP2Ru
_space_group_name_H-M_alt 'R 3 m'
_space_group_IT_number 160
_space_group_name_Hall 'R 3 -2"'
_cell_length_a 3.1177
_cell_length_b 3.1177
_cell_length_c 19.8323
_cell_angle_alpha 90.00
_cell_angle_beta 90.00
_cell_angle_gamma 120.00
loop_
_atom_site_label
_atom_site_type_symbol
_atom_site_fract_x
_atom_site_fract_y
_atom_site_fract_z
_atom_site_occupancy
Si1 Si 0.0000 0.0000 0.0000 1
P1 P 0.0000 0.0000 0.4931 1
P2 P 0.0000 0.0000 0.7494 1
Ru1 Ru 0.0000 0.0000 0.2444 1

***

Which value of D(E_F) does entry 3 give? 4.11 states/eV/cell